# 1
## Ti3InGe (PBE)

Data for an optimized crystal structure of Ti3InGe.

Cell lengths 4.982, 4.982, 4.982 Å; angles 90.00, 90.00, 90.00 degrees
Element x y z (fractional)
Ti1 0.000 0.000 0.500
Ti2 0.000 0.500 0.000
Ti3 0.500 0.000 0.000
In1 0.000 0.000 0.000
Ge1 0.500 0.500 0.500

Values from the calculation:
crystal system	cubic
M_tot	2.1	μB/f.u.
energy above the most stable polymorph in this dataset	6.53	eV/f.u.
mass density	4.445	Mg/m³
formation energy from the elements	1101.3	meV/atom

***

# 2
## CuBiTe2N (PBE)

Data for an optimized crystal structure of CuBiTe2N.

Cell lengths 5.953, 5.953, 4.316 Å; angles 90.00, 90.00, 90.00 degrees
Element x y z (fractional)
Cu1 0.000 0.000 0.000
Bi1 0.500 0.500 0.500
Te1 0.000 0.500 0.500
Te2 0.500 0.000 0.500
N1 0.500 0.500 0.000

Values from the calculation:
crystal system	tetragonal
ΔE_f (raw)	127.9	kJ per mole of atoms
M_tot	1.7	μB/f.u.
energy above the most stable polymorph in this dataset	3.42	eV/f.u.
mass density	5.882	Mg/m³

***

# 3
## TbSmTh4 (PBE)

Data for an optimized crystal structure of TbSmTh4.

Cell lengths 8.037, 8.037, 5.075 Å; angles 90.00, 90.00, 143.46 degrees
Element x y z (fractional)
Tb1 0.000 0.000 0.000
Sm1 0.500 0.500 0.500
Th1 0.169 0.831 0.500
Th2 0.331 0.669 0.000
Th3 0.669 0.331 0.000
Th4 0.831 0.169 0.500

Values from the calculation:
crystal system	orthorhombic
M_tot	0.0	μB/f.u.
energy above the most stable polymorph in this dataset	0.00	eV/f.u.
mass density	10.528	Mg/m³
formation energy from the elements	48.3	meV/atom

***

Which of these has the highest energy above the most stable polymorph in this dataset? Ti3InGe

***

Copy entry 1 word for word.
## Ti3InGe (PBE)

Data for an optimized crystal structure of Ti3InGe.

Cell lengths 4.982, 4.982, 4.982 Å; angles 90.00, 90.00, 90.00 degrees
Element x y z (fractional)
Ti1 0.000 0.000 0.500
Ti2 0.000 0.500 0.000
Ti3 0.500 0.000 0.000
In1 0.000 0.000 0.000
Ge1 0.500 0.500 0.500

Values from the calculation:
crystal system	cubic
M_tot	2.1	μB/f.u.
energy above the most stable polymorph in this dataset	6.53	eV/f.u.
mass density	4.445	Mg/m³
formation energy from the elements	1101.3	meV/atom

***

Please write out number 1 again, unchanged.
## Ti3InGe (PBE)

Data for an optimized crystal structure of Ti3InGe.

Cell lengths 4.982, 4.982, 4.982 Å; angles 90.00, 90.00, 90.00 degrees
Element x y z (fractional)
Ti1 0.000 0.000 0.500
Ti2 0.000 0.500 0.000
Ti3 0.500 0.000 0.000
In1 0.000 0.000 0.000
Ge1 0.500 0.500 0.500

Values from the calculation:
crystal system	cubic
M_tot	2.1	μB/f.u.
energy above the most stable polymorph in this dataset	6.53	eV/f.u.
mass density	4.445	Mg/m³
formation energy from the elements	1101.3	meV/atom